GdDy2Cd3InGa2 | PBE-GGA | relaxed

a b c (Å): 4.527 12.710 7.319
angles (deg): 90.00 90.00 90.00
Space group Amm2 (No. 38)
Symmetry-distinct sites (fractional):
Gd  0.000  0.000  0.000
Dy  0.000  0.219  0.656
Cd  0.500  0.000  0.692
Cd  0.500  0.127  0.310
In  0.000  0.000  0.439
Ga  0.500  0.167  0.937

Computed properties:
**E_tot**: -29.8 eV/f.u.